Entry 1:
Compound: HgOsIN2
Source: Alexandria via LeMat-Bulk
Functional: PBE-GGA
Structure: relaxed

## Properties
Space-group type: P4/mmm, No. 123
Excess energy over the best structure of this formula in the dataset, meV/atom: 0
Total energy, eV per cell: -25.2
Energy relative to the elements, uncorrected, eV per formula unit: 4.54
DOS at the Fermi energy, states/eV/atom: 0.667

abc: 3.9510 3.9510 5.9474
angles: 90.00 90.00 90.00
Positions (direct):
Hg 0.0000 0.0000 0.0000
Os 0.5000 0.5000 0.5000
I 0.5000 0.5000 0.0000
N 0.0000 0.5000 0.5000
N 0.5000 0.0000 0.5000

***

Entry 2:
Compound: HgOsI2N
Source: Alexandria via LeMat-Bulk
Functional: PBE-GGA
Structure: relaxed

## Properties
Space-group type: P4/mmm, No. 123
Excess energy over the best structure of this formula in the dataset, meV/atom: 1744
Total energy, eV per cell: -12.1
Energy relative to the elements, uncorrected, eV per formula unit: 10.82
DOS at the Fermi energy, states/eV/atom: 1.552

abc: 6.1235 6.1235 3.8922
angles: 90.00 90.00 90.00
Positions (direct):
Hg 0.0000 0.0000 0.0000
Os 0.5000 0.5000 0.5000
I 0.0000 0.5000 0.0000
I 0.5000 0.0000 0.0000
N 0.0000 0.0000 0.5000

***

Q: total energy of number 2 (HgOsI2N)?
A: -12.1 eV per cell